Entry 1:
VASP calculation (GGA-PBE) on a geometry-optimized Tl3CdHg5 structure.

Geometry as POSCAR:
```
Tl3CdHg5
1.0
9.3901 0.0000 0.0000
-4.6951 8.1321 0.0000
0.0000 0.0000 6.6687
Tl Cd Hg
6 2 10
direct
0.0000 0.3803 0.2500
0.0000 0.6197 0.7500
0.3803 0.0000 0.2500
0.3803 0.3803 0.7500
0.6197 0.0000 0.7500
0.6197 0.6197 0.2500
0.0000 0.0000 0.0000
0.0000 0.0000 0.5000
0.0000 0.2810 0.7500
0.0000 0.7190 0.2500
0.2810 0.0000 0.7500
0.2810 0.2810 0.2500
0.3333 0.6667 0.0000
0.3333 0.6667 0.5000
0.6667 0.3333 0.0000
0.6667 0.3333 0.5000
0.7190 0.0000 0.2500
0.7190 0.7190 0.7500
```

Results
Formation enthalpy at 0 K (eV per atom): 0.0041

Entry 2:
VASP calculation (GGA-PBE) on a geometry-optimized Tl3Cd2Hg6 structure.

Geometry as POSCAR:
```
Tl3Cd2Hg6
1.0
-2.2003 2.2003 16.6481
2.2003 -2.2003 16.6481
2.2003 2.2003 -16.6481
Tl Cd Hg
3 2 6
direct
0.0000 0.0000 0.0000
0.1689 0.1689 0.0000
0.8311 0.8311 0.0000
0.3561 0.3561 0.0000
0.6439 0.6439 0.0000
0.0742 0.5742 0.5000
0.2648 0.2648 0.0000
0.4258 0.9258 0.5000
0.5742 0.0742 0.5000
0.7352 0.7352 0.0000
0.9258 0.4258 0.5000
```

Results
ΔE to the lowest computed polymorph (kJ/mol of atoms): 2.5
Formation enthalpy at 0 K (eV per atom): 0.0324

Entry 3:
VASP calculation (GGA-PBE) on a geometry-optimized Tl16CdHg12 structure.

Geometry as POSCAR:
```
Tl16CdHg12
1.0
5.9465 -8.3520 0.0000
5.9465 8.3520 0.0000
-5.9335 0.0000 8.3924
Tl Cd Hg
16 1 12
direct
0.0000 0.0000 0.0000
0.9995 0.9995 0.3564
0.0012 0.6890 0.7394
0.0035 0.3899 0.0396
0.2662 0.5947 0.9472
0.3334 0.7287 0.6846
0.3638 0.3638 0.7097
0.3899 0.0035 0.0396
0.3966 0.6665 0.3480
0.5947 0.2662 0.9472
0.6219 0.6219 0.6514
0.6372 0.9995 0.3551
0.6665 0.3966 0.3480
0.6890 0.0012 0.7394
0.7287 0.3334 0.6846
0.9995 0.6372 0.3551
0.3004 0.3004 0.0652
0.0112 0.1957 0.7248
0.1740 0.8086 0.1607
0.1906 0.3707 0.3617
0.1957 0.0112 0.7248
0.3684 0.9922 0.5321
0.3707 0.1906 0.3617
0.5910 0.5910 0.1500
0.6297 0.8155 0.0019
0.8086 0.1740 0.1607
0.8135 0.8135 0.5128
0.8155 0.6297 0.0019
0.9922 0.3684 0.5321
```

Results
Formation enthalpy at 0 K (eV per atom): -0.0027

Entry 4:
VASP calculation (GGA-PBE) on a geometry-optimized TlCdHg2 structure.

Geometry as POSCAR:
```
TlCdHg2
1.0
3.4038 -3.8870 0.0000
3.4038 3.8870 0.0000
0.0000 0.0000 4.0958
Tl Cd Hg
1 1 2
direct
0.0000 0.0000 0.0000
0.5000 0.5000 0.0000
0.0000 0.5000 0.5000
0.5000 0.0000 0.5000
```

Results
ΔE to the lowest computed polymorph (kJ/mol of atoms): 0.6
Formation enthalpy at 0 K (eV per atom): -0.0010

Entry 5:
VASP calculation (GGA-PBE) on a geometry-optimized TlCd12Hg6 structure.

Geometry as POSCAR:
```
TlCd12Hg6
1.0
6.5717 3.7942 3.3067
-6.5717 3.7942 3.3067
0.0000 -7.5883 3.3067
Tl Cd Hg
1 12 6
direct
0.0000 0.0000 0.0000
0.1107 0.5000 0.8893
0.1107 0.8893 0.5000
0.1261 0.3657 0.3657
0.3657 0.1261 0.3657
0.3657 0.3657 0.1261
0.5000 0.1107 0.8893
0.5000 0.8893 0.1107
0.6343 0.6343 0.8739
0.6343 0.8739 0.6343
0.8739 0.6343 0.6343
0.8893 0.1107 0.5000
0.8893 0.5000 0.1107
0.2911 0.7063 0.7063
0.2937 0.2937 0.7089
0.2937 0.7089 0.2937
0.7063 0.2911 0.7063
0.7063 0.7063 0.2911
0.7089 0.2937 0.2937
```

Results
ΔE to the lowest computed polymorph (kJ/mol of atoms): 2.9
Formation enthalpy at 0 K (eV per atom): 0.0566

Entry 6:
VASP calculation (GGA-PBE) on a geometry-optimized Tl2CdHg7 structure.

Geometry as POSCAR:
```
Tl2CdHg7
1.0
3.4665 0.0000 0.0000
-0.3812 5.9928 0.0000
-0.3676 -2.9558 13.2728
Tl Cd Hg
2 1 7
direct
0.0062 0.3547 0.1055
0.9938 0.6453 0.8945
0.5000 0.0000 0.5000
0.0000 0.5000 0.5000
0.0591 0.0953 0.3060
0.4535 0.3938 0.6927
0.4769 0.1414 0.8924
0.5231 0.8586 0.1076
0.5465 0.6062 0.3073
0.9409 0.9047 0.6940
```

Results
ΔE to the lowest computed polymorph (kJ/mol of atoms): 0.0
Formation enthalpy at 0 K (eV per atom): -0.0030

Electronic total energy across the listed records, respectively: -1.054, -0.944, -1.465, -0.972, -0.741, -0.779 eV/atom.
D(E_F) across the listed records, respectively: 6.236, 4.748, 8.378, 0.619, 6.793, 2.086 states/eV per cell.